(1)
TiNi2PtN: optimized geometry, GGA-PBE.

Summary:
- D(E_F) (states/eV/cell) = 4.265
- raw formation energy (eV per atom) = -0.56
- size of the total moment (μB/cell) = 0.0
- calculated total energy (eV/atom) = -7.3238

Unit cell a=3.832 b=3.832 c=4.026 alpha=90.00 beta=90.00 gamma=90.00
Space group P4/mmm (No. 123)
Inequivalent atoms, fractional coordinates:
Ti1 0.000 0.000 0.000 x1
Ni1 0.000 0.500 0.500 x2
Pt1 0.500 0.500 0.000 x1
N1 0.000 0.000 0.500 x1

=====

(2)
Y2CdAg3: optimized geometry, GGA-PBE.

Summary:
- energy relative to the lowest polymorph listed for this composition (eV per atom) = 0.0000
- formation energy (meV per atom) = -277.3
- D(E_F) (states/eV/cell) = 30.943
- size of the total moment (μB/cell) = 0.0
- calculated total energy (eV/atom) = -4.0102

Unit cell a=6.693 b=9.696 c=16.803 alpha=90.00 beta=90.00 gamma=90.00
Space group Fmmm (No. 69)
Inequivalent atoms, fractional coordinates:
Y1 0.247 0.000 0.000 x8
Y2 0.250 0.250 0.250 x8
Cd1 0.000 0.000 0.333 x8
Ag1 0.000 0.000 0.166 x8
Ag2 0.000 0.250 0.083 x16

=====

(3)
RbMnPt: optimized geometry, GGA-PBE.

Summary:
- energy relative to the lowest polymorph listed for this composition (eV per atom) = 0.1648
- formation energy (meV per atom) = 197.2
- D(E_F) (states/eV/cell) = 7.479
- size of the total moment (μB/cell) = 0.5
- calculated total energy (eV/atom) = -5.1955

Unit cell a=6.817 b=3.934 c=12.623 alpha=90.00 beta=100.59 gamma=90.00
Space group C2/m (No. 12)
Inequivalent atoms, fractional coordinates:
Rb1 0.229 0.000 0.194 x4
Mn1 0.166 0.500 0.499 x4
Pt1 0.037 0.000 0.609 x4

=====

no.,theoretical density (Mg/m³)
1,10.52
2,7.48
3,6.70